Computed, not measured: crystalline LiLaCuGe2 at its relaxed geometry at the PBE-GGA level of DFT.

Cell lengths 4.245, 4.245, 6.048 Å; angles 110.54, 110.54, 90.00 degrees
Atoms (fractional coordinates):
Ge1 0.621 0.621 0.241
Ge2 0.379 0.379 0.759
Cu1 0.250 0.750 0.500
La1 0.000 0.000 0.000
Li1 0.750 0.250 0.500

Values from the calculation:
Space group ... I-4m2
Energy of formation from the pure elements ... -13.8 kcal/mol of atoms

***

Computed, not measured: crystalline AsIrCl2 at its relaxed geometry at the PBE-GGA level of DFT.

Cell lengths 3.711, 3.711, 8.406 Å; angles 96.39, 90.33, 120.00 degrees
Atoms (fractional coordinates):
Ir1 0.638 0.054 0.275
As1 0.328 0.432 0.403
Cl1 0.377 0.522 0.664
Cl2 0.938 0.660 0.098

Values from the calculation:
Space group ... P1
Energy above the most stable polymorph in this dataset ... 0 kJ/mol of formula units

***

Computed, not measured: crystalline SrScAl2Ag5 at its relaxed geometry at the PBE-GGA level of DFT.

Cell lengths 4.689, 4.689, 8.732 Å; angles 90.00, 90.00, 90.00 degrees
Atoms (fractional coordinates):
Ag1 0.500 0.500 0.500
Ag2 0.000 0.500 0.254
Ag3 0.000 0.500 0.746
Ag4 0.500 0.000 0.254
Ag5 0.500 0.000 0.746
Al1 0.500 0.500 0.144
Al2 0.500 0.500 0.856
Sc1 0.000 0.000 0.000
Sr1 0.000 0.000 0.500

Values from the calculation:
Space group ... P4/mmm
Energy of formation from the pure elements ... -1.8 kcal/mol of atoms

***

Computed, not measured: crystalline Ni3Mo at its relaxed geometry at the PBE-GGA level of DFT.

Cell lengths 4.241, 4.473, 5.034 Å; angles 90.00, 90.00, 90.00 degrees
Atoms (fractional coordinates):
Ni1 0.000 0.840 0.749
Ni2 0.000 0.334 0.500
Ni3 0.500 0.160 0.751
Ni4 0.500 0.160 0.249
Ni5 0.000 0.840 0.251
Ni6 0.500 0.666 0.000
Mo1 0.500 0.654 0.500
Mo2 0.000 0.346 0.000

Values from the calculation:
Space group ... Pmmn
Energy of formation from the pure elements ... -2.2 kcal/mol of atoms

***

Computed, not measured: crystalline Sr4Ag2Cl at its relaxed geometry at the PBE-GGA level of DFT.

Cell lengths 5.887, 5.887, 8.812 Å; angles 109.51, 109.51, 90.00 degrees
Atoms (fractional coordinates):
Sr1 0.794 0.794 0.587
Sr2 0.000 0.500 0.000
Sr3 0.500 0.000 0.000
Sr4 0.206 0.206 0.413
Ag1 0.594 0.594 0.188
Ag2 0.406 0.406 0.812
Cl1 0.000 0.000 0.000

Values from the calculation:
Space group ... I4/mmm
Uncorrected energy ... -2.570 eV/atom

***

Computed, not measured: crystalline TcHCl2 at its relaxed geometry at the PBE-GGA level of DFT.

Cell lengths 7.222, 7.222, 7.222 Å; angles 28.04, 28.04, 28.04 degrees
Each line ends with the local moment (μB).
Atoms (fractional coordinates):
Cl1 0.076 0.076 0.076  0.10
Cl2 0.924 0.924 0.924  0.10
H1 0.000 0.000 0.000  0.01
Tc1 0.500 0.500 0.500  3.37

Values from the calculation:
Space group ... R-3m
Energy above the most stable polymorph in this dataset ... 0 kJ/mol of formula units

***

Computed, not measured: crystalline Ac2PmPr at its relaxed geometry at the PBE-GGA level of DFT.

Cell lengths 3.882, 6.560, 6.560 Å; angles 107.46, 90.00, 90.00 degrees
Atoms (fractional coordinates):
Pm1 0.500 0.000 0.000
Pr1 0.500 0.500 0.500
Ac1 0.000 0.000 0.500
Ac2 0.000 0.500 0.000

Values from the calculation:
Space group ... Cmmm
Energy of formation from the pure elements ... 0.6 kcal/mol of atoms
Energy above the most stable polymorph in this dataset ... 2 kJ/mol of formula units

***

Computed, not measured: crystalline Ti8Sn2Pb at its relaxed geometry at the PBE-GGA level of DFT.

Cell lengths 5.101, 7.316, 7.381 Å; angles 60.29, 76.65, 62.22 degrees
Each line ends with the local moment (μB).
Atoms (fractional coordinates):
Ti1 0.500 0.224 0.552  0.11
Ti2 0.295 0.425 0.000  -0.03
Ti3 0.165 0.684 0.215  0.02
Ti4 0.835 0.316 0.785  0.02
Ti5 0.705 0.575 0.000  -0.03
Ti6 0.835 0.100 0.215  0.02
Ti7 0.165 0.900 0.785  0.02
Ti8 0.500 0.776 0.448  0.11
Sn1 0.000 0.695 0.609  0.00
Sn2 0.000 0.305 0.391  0.00
Pb1 0.500 0.000 0.000  0.00

Values from the calculation:
Space group ... C2/m
Energy of formation from the pure elements ... -0.8 kcal/mol of atoms

***

Computed, not measured: crystalline Mg2AgAu4 at its relaxed geometry at the PBE-GGA level of DFT.

Cell lengths 9.232, 5.569, 6.093 Å; angles 117.20, 90.00, 90.00 degrees
Atoms (fractional coordinates):
Mg1 0.500 0.848 0.696
Mg2 0.000 0.652 0.304
Mg3 0.000 0.348 0.696
Mg4 0.500 0.152 0.304
Au1 0.778 0.679 0.000
Au2 0.222 0.321 0.000
Au3 0.750 0.990 0.500
Au4 0.722 0.179 0.000
Au5 0.750 0.490 0.500
Au6 0.250 0.510 0.500
Au7 0.278 0.821 0.000
Au8 0.250 0.010 0.500
Ag1 0.000 0.000 0.000
Ag2 0.500 0.500 0.000

Values from the calculation:
Space group ... Cmce
Energy of formation from the pure elements ... -5.6 kcal/mol of atoms
Energy above the most stable polymorph in this dataset ... 20 kJ/mol of formula units

***

Computed, not measured: crystalline Tb2HoTc at its relaxed geometry at the PBE-GGA level of DFT.

Cell lengths 3.419, 3.419, 11.103 Å; angles 81.14, 81.14, 60.00 degrees
Atoms (fractional coordinates):
Tc1 0.500 0.500 0.500
Ho1 0.000 0.000 0.000
Tb1 0.896 0.896 0.313
Tb2 0.104 0.104 0.687

Values from the calculation:
Space group ... R-3m
Energy of formation from the pure elements ... 6.8 kcal/mol of atoms
Energy above the most stable polymorph in this dataset ... 150 kJ/mol of formula units

***

Computed, not measured: crystalline PmTm4Cu5 at its relaxed geometry at the PBE-GGA level of DFT.

Cell lengths 3.422, 3.422, 17.467 Å; angles 90.00, 90.00, 90.00 degrees
Atoms (fractional coordinates):
Tm1 0.000 0.000 0.795
Tm2 0.000 0.000 0.205
Tm3 0.000 0.000 0.598
Tm4 0.000 0.000 0.402
Cu1 0.500 0.500 0.500
Cu2 0.500 0.500 0.889
Cu3 0.500 0.500 0.303
Cu4 0.500 0.500 0.697
Cu5 0.500 0.500 0.111
Pm1 0.000 0.000 0.000

Values from the calculation:
Space group ... P4/mmm
Energy of formation from the pure elements ... -6.2 kcal/mol of atoms

***

Computed, not measured: crystalline Cd2PbAu at its relaxed geometry at the PBE-GGA level of DFT.

Cell lengths 4.574, 3.777, 5.990 Å; angles 69.70, 90.00, 90.00 degrees
Atoms (fractional coordinates):
Cd1 0.500 0.217 0.188
Cd2 0.000 0.794 0.029
Au1 0.500 0.946 0.720
Pb1 0.000 0.543 0.563

Values from the calculation:
Space group ... Pm
Energy of formation from the pure elements ... -0.8 kcal/mol of atoms

***

Computed, not measured: crystalline Sr2PbW at its relaxed geometry at the PBE-GGA level of DFT.

Cell lengths 5.348, 3.301, 6.395 Å; angles 89.80, 90.00, 90.00 degrees
Atoms (fractional coordinates):
Sr1 0.500 0.128 0.298
Sr2 0.000 0.123 0.959
Pb1 0.500 0.624 0.748
W1 0.000 0.625 0.496

Values from the calculation:
Space group ... Pm
Energy of formation from the pure elements ... 17.0 kcal/mol of atoms

***

Computed, not measured: crystalline Y4Ga2Hg5 at its relaxed geometry at the PBE-GGA level of DFT.

Cell lengths 3.760, 7.734, 9.310 Å; angles 92.32, 90.00, 90.00 degrees
Atoms (fractional coordinates):
Hg1 0.000 0.561 0.332
Hg2 0.000 0.148 0.136
Hg3 0.000 0.852 0.864
Hg4 0.000 0.500 0.000
Hg5 0.000 0.439 0.668
Ga1 0.000 0.065 0.626
Ga2 0.000 0.935 0.374
Y1 0.500 0.753 0.582
Y2 0.500 0.806 0.138
Y3 0.500 0.247 0.418
Y4 0.500 0.194 0.862

Values from the calculation:
Space group ... P2/m
Energy of formation from the pure elements ... -10.8 kcal/mol of atoms

***

Computed, not measured: crystalline BaAcHgAu at its relaxed geometry at the PBE-GGA level of DFT.

Cell lengths 5.707, 5.707, 5.707 Å; angles 60.00, 60.00, 60.00 degrees
Atoms (fractional coordinates):
Ac1 0.750 0.750 0.750
Hg1 0.500 0.500 0.500
Au1 0.000 0.000 0.000
Ba1 0.250 0.250 0.250

Values from the calculation:
Space group ... F-43m
Energy of formation from the pure elements ... -13.0 kcal/mol of atoms
Energy above the most stable polymorph in this dataset ... 7 kJ/mol of formula units

***

Computed, not measured: crystalline BaCr2Co at its relaxed geometry at the PBE-GGA level of DFT.

Cell lengths 4.510, 4.401, 4.401 Å; angles 90.00, 90.00, 90.00 degrees
Each line ends with the local moment (μB).
Atoms (fractional coordinates):
Co1 0.500 0.000 0.500  1.61
Cr1 0.000 0.000 0.000  3.78
Cr2 0.000 0.500 0.500  3.78
Ba1 0.500 0.500 0.000  0.08

Values from the calculation:
Space group ... P4/mmm
Energy of formation from the pure elements ... 29.0 kcal/mol of atoms
Energy above the most stable polymorph in this dataset ... 273 kJ/mol of formula units

***

Computed, not measured: crystalline AcTb2Sm7 at its relaxed geometry at the PBE-GGA level of DFT.

Cell lengths 5.805, 9.201, 9.201 Å; angles 121.88, 90.00, 90.00 degrees
Atoms (fractional coordinates):
Sm1 0.500 0.701 0.940
Sm2 0.500 0.500 0.500
Sm3 0.500 0.060 0.299
Sm4 0.500 0.940 0.701
Sm5 0.000 0.766 0.234
Sm6 0.500 0.299 0.060
Sm7 0.000 0.234 0.766
Ac1 0.000 0.000 0.000
Tb1 0.500 0.298 0.702
Tb2 0.500 0.702 0.298

Values from the calculation:
Space group ... Cmmm
Energy of formation from the pure elements ... 14.6 kcal/mol of atoms
Energy above the most stable polymorph in this dataset ... 564 kJ/mol of formula units

***

Computed, not measured: crystalline CdWCl2 at its relaxed geometry at the PBE-GGA level of DFT.

Cell lengths 3.231, 3.231, 10.562 Å; angles 90.00, 90.00, 125.67 degrees
Each line ends with the local moment (μB).
Atoms (fractional coordinates):
Cl1 0.000 0.000 0.065  0.02
Cl2 0.000 0.000 0.435  0.02
W1 0.500 0.500 0.250  0.75
Cd1 0.500 0.500 0.750  0.00

Values from the calculation:
Space group ... Cmmm
Energy above the most stable polymorph in this dataset ... 38 kJ/mol of formula units

***

Computed, not measured: crystalline CeSmGaCu at its relaxed geometry at the PBE-GGA level of DFT.

Cell lengths 5.104, 5.104, 5.104 Å; angles 60.00, 60.00, 60.00 degrees
Each line ends with the local moment (μB).
Atoms (fractional coordinates):
Sm1 0.500 0.500 0.500  0.14
Ce1 0.000 0.000 0.000  0.68
Ga1 0.250 0.250 0.250  -0.02
Cu1 0.750 0.750 0.750  0.04

Values from the calculation:
Space group ... F-43m
Energy of formation from the pure elements ... -6.5 kcal/mol of atoms

***

Computed, not measured: crystalline PmZrCoPt at its relaxed geometry at the PBE-GGA level of DFT.

Cell lengths 4.813, 4.813, 4.813 Å; angles 60.00, 60.00, 60.00 degrees
Each line ends with the local moment (μB).
Atoms (fractional coordinates):
Pt1 0.750 0.750 0.750  0.01
Zr1 0.000 0.000 0.000  -0.11
Co1 0.250 0.250 0.250  0.92
Pm1 0.500 0.500 0.500  -0.04

Values from the calculation:
Space group ... F-43m
Energy of formation from the pure elements ... -10.3 kcal/mol of atoms

***

Computed, not measured: crystalline Ca2SmUN4 at its relaxed geometry at the PBE-GGA level of DFT.

Cell lengths 3.556, 6.092, 6.055 Å; angles 109.42, 90.00, 90.00 degrees
Each line ends with the local moment (μB).
Atoms (fractional coordinates):
N1 0.000 0.276 0.780  -0.03
N2 0.000 0.724 0.220  -0.03
N3 0.500 0.272 0.215  -0.02
N4 0.500 0.728 0.785  -0.02
U1 0.500 0.500 0.000  0.88
Sm1 0.000 0.000 0.000  0.04
Ca1 0.000 0.500 0.500  0.01
Ca2 0.500 0.000 0.500  0.02

Values from the calculation:
Space group ... P2/m
Uncorrected energy ... -8.009 eV/atom

***

Computed, not measured: crystalline YSbBr at its relaxed geometry at the PBE-GGA level of DFT.

Cell lengths 5.141, 5.141, 5.141 Å; angles 60.00, 60.00, 60.00 degrees
Atoms (fractional coordinates):
Y1 0.750 0.750 0.750
Sb1 0.500 0.500 0.500
Br1 0.000 0.000 0.000

Values from the calculation:
Space group ... F-43m
Energy above the most stable polymorph in this dataset ... 76 kJ/mol of formula units

***

Computed, not measured: crystalline NiPd2Pt8 at its relaxed geometry at the PBE-GGA level of DFT.

Cell lengths 4.717, 6.784, 6.784 Å; angles 61.18, 77.00, 77.00 degrees
Atoms (fractional coordinates):
Pt1 0.648 0.639 0.639
Pt2 0.807 0.626 0.228
Pt3 0.193 0.374 0.772
Pt4 0.940 0.225 0.225
Pt5 0.060 0.775 0.775
Pt6 0.352 0.361 0.361
Pt7 0.193 0.772 0.374
Pt8 0.807 0.228 0.626
Pd1 0.498 0.879 0.879
Pd2 0.502 0.121 0.121
Ni1 0.000 0.000 0.000

Values from the calculation:
Space group ... C2/m
Energy of formation from the pure elements ... 5.7 kcal/mol of atoms
Energy above the most stable polymorph in this dataset ... 308 kJ/mol of formula units

***

Computed, not measured: crystalline GeOsO2F at its relaxed geometry at the PBE-GGA level of DFT.

Cell lengths 3.856, 3.856, 4.138 Å; angles 90.00, 90.00, 90.00 degrees
Each line ends with the local moment (μB).
Atoms (fractional coordinates):
O1 0.000 0.500 0.000  0.10
O2 0.500 0.000 0.000  0.10
Ge1 0.000 0.000 0.000  -0.01
F1 0.000 0.000 0.500  0.05
Os1 0.500 0.500 0.500  3.12

Values from the calculation:
Space group ... P4/mmm
Uncorrected energy ... -5.388 eV/atom

***

Computed, not measured: crystalline TeWCl2 at its relaxed geometry at the PBE-GGA level of DFT.

Cell lengths 4.835, 4.835, 4.835 Å; angles 119.98, 119.98, 90.04 degrees
Each line ends with the local moment (μB).
Atoms (fractional coordinates):
Cl1 0.250 0.750 0.500  0.07
Cl2 0.000 0.000 0.000  -0.04
W1 0.750 0.250 0.500  1.74
Te1 0.500 0.500 0.000  -0.15

Values from the calculation:
Space group ... F-43m
Energy above the most stable polymorph in this dataset ... 322 kJ/mol of formula units

***

Computed, not measured: crystalline ZnNiPb3 at its relaxed geometry at the PBE-GGA level of DFT.

Cell lengths 5.309, 5.309, 5.309 Å; angles 90.00, 90.00, 90.00 degrees
Atoms (fractional coordinates):
Pb1 0.000 0.000 0.500
Pb2 0.000 0.500 0.000
Pb3 0.500 0.000 0.000
Zn1 0.000 0.000 0.000
Ni1 0.500 0.500 0.500

Values from the calculation:
Space group ... Pm-3m
Energy of formation from the pure elements ... 18.5 kcal/mol of atoms
Energy above the most stable polymorph in this dataset ... 267 kJ/mol of formula units

***

Computed, not measured: crystalline MnGaCoRuS at its relaxed geometry at the PBE-GGA level of DFT.

Cell lengths 3.070, 2.986, 7.542 Å; angles 90.00, 90.00, 90.00 degrees
Each line ends with the local moment (μB).
Atoms (fractional coordinates):
Ga1 0.500 0.500 0.320  -0.01
Co1 0.000 0.000 0.498  0.28
Mn1 0.500 0.500 0.925  2.81
S1 0.000 0.500 0.704  -0.05
Ru1 0.000 0.000 0.122  -0.04

Values from the calculation:
Space group ... Pmm2
Energy above the most stable polymorph in this dataset ... 35 kJ/mol of formula units